(1)
Tb2ScAg: relaxed, PBE.

Output
For the total magnetization, the calculation gives 0.00 μB/f.u. The total energy comes out at -0.337 Ry per atom. Its energy above the most stable polymorph in this dataset is 0.1363 eV per atom.

Lattice parameters (Å, degrees): 5.278 5.278 5.278 60.00 60.00 60.00
Fractional coordinates of all 4 atoms:
Tb  0.250  0.250  0.250
Tb  0.750  0.750  0.750
Sc  0.000  0.000  0.000
Ag  0.500  0.500  0.500

=====

(2)
TbSc2Ag: relaxed, PBE.

Output
For the total magnetization, the calculation gives 0.00 μB/f.u. The total energy comes out at -0.363 Ry per atom. Its energy above the most stable polymorph in this dataset is 0.1955 eV per atom.

Lattice parameters (Å, degrees): 5.108 5.108 5.111 60.02 60.02 60.00
Fractional coordinates of all 4 atoms:
Tb  0.000  0.000  0.000
Ag  0.500  0.500  0.500
Sc  0.250  0.250  0.251
Sc  0.750  0.750  0.749

=====

(3)
TbScAg: relaxed, PBE.

Output
For the total magnetization, the calculation gives 0.93 μB/f.u. The total energy comes out at -0.349 Ry per atom. Its energy above the most stable polymorph in this dataset is 0.0293 eV per atom.

Lattice parameters (Å, degrees): 3.486 3.486 6.528 105.49 105.49 90.00
Site moments in Bohr magnetons follow the coordinates.
Fractional coordinates of all 3 atoms:
Ag  0.678  0.678  0.356  0.01
Tb  0.009  0.009  0.019  0.31
Sc  0.312  0.312  0.625  0.30

=====

(4)
Tb5ScAg6: relaxed, PBE.

Output
For the total magnetization, the calculation gives 0.00 μB/f.u. The total energy comes out at -0.307 Ry per atom.

Lattice parameters (Å, degrees): 5.137 7.174 8.139 90.00 71.44 90.00
Fractional coordinates of all 12 atoms:
Ag  0.162  0.757  0.677
Ag  0.500  0.759  0.000
Tb  0.668  0.500  0.663
Ag  0.162  0.243  0.677
Ag  0.838  0.757  0.323
Tb  0.332  0.500  0.337
Sc  0.000  0.000  0.000
Ag  0.838  0.243  0.323
Tb  0.335  0.000  0.331
Ag  0.500  0.241  0.000
Tb  0.665  0.000  0.669
Tb  0.000  0.500  0.000

=====

(5)
Tb4ScAg3: relaxed, PBE.

Output
For the total magnetization, the calculation gives 0.00 μB/f.u. The total energy comes out at -0.320 Ry per atom.

Lattice parameters (Å, degrees): 3.634 5.239 10.578 90.00 90.00 90.00
Fractional coordinates of all 8 atoms:
Tb  0.000  0.000  0.000
Ag  0.500  0.000  0.759
Tb  0.000  0.500  0.260
Sc  0.500  0.500  0.000
Tb  0.000  0.500  0.740
Ag  0.500  0.000  0.241
Tb  0.000  0.000  0.500
Ag  0.500  0.500  0.500

=====

(6)
TbSc2Ag6: relaxed, PBE.

Output
For the total magnetization, the calculation gives 0.00 μB/f.u. The total energy comes out at -0.297 Ry per atom.

Lattice parameters (Å, degrees): 5.166 8.987 8.987 119.37 90.02 90.02
Fractional coordinates of all 18 atoms:
Ag  0.254  0.586  0.086
Ag  0.006  0.835  0.996
Sc  0.500  0.334  0.166
Sc  0.000  0.834  0.666
Ag  0.506  0.996  0.835
Ag  0.006  0.496  0.335
Tb  0.250  0.250  0.750
Ag  0.994  0.165  0.004
Ag  0.494  0.665  0.504
Ag  0.746  0.414  0.914
Ag  0.754  0.086  0.586
Sc  0.500  0.666  0.834
Ag  0.494  0.004  0.165
Ag  0.506  0.335  0.496
Tb  0.750  0.750  0.250
Sc  0.000  0.166  0.334
Ag  0.246  0.914  0.414
Ag  0.994  0.504  0.665

=====

(7)
TbSc2Ag: relaxed, PBE.

Output
For the total magnetization, the calculation gives 0.00 μB/f.u. The total energy comes out at -0.377 Ry per atom. Its energy above the most stable polymorph in this dataset is 0.0078 eV per atom.

Lattice parameters (Å, degrees): 3.481 3.481 7.993 90.00 90.00 90.00
Fractional coordinates of all 4 atoms:
Sc  0.000  0.000  0.208
Sc  0.000  0.000  0.792
Tb  0.500  0.500  0.500
Ag  0.500  0.500  0.000

=====

(8)
TbSc2Ag: relaxed, PBE.

Output
For the total magnetization, the calculation gives 0.68 μB/f.u. The total energy comes out at -0.370 Ry per atom. Its energy above the most stable polymorph in this dataset is 0.0928 eV per atom.

Lattice parameters (Å, degrees): 4.732 4.497 4.497 90.00 90.00 90.00
Site moments in Bohr magnetons follow the coordinates.
Fractional coordinates of all 4 atoms:
Tb  0.500  0.500  0.500  0.10
Ag  0.500  0.000  0.000  0.01
Sc  0.000  0.500  0.000  0.18
Sc  0.000  0.000  0.500  0.18